Density functional theory data (PBE-GGA) for a relaxed RbBeCo3 crystal.

E_tot	-2.373	eV/atom
theoretical density	4.8	g/cm³
DFT formation energy	2.83	eV per atom
N(E_F)	10.12	states/eV/f.u.

Unit cell a=4.552 b=4.552 c=4.552 alpha=90.00 beta=90.00 gamma=90.00
Space group Pm-3m (No. 221)
Inequivalent atoms, fractional coordinates:
Rb 0.000 0.000 0.000 (multiplicity 1)
Be 0.500 0.500 0.500 (multiplicity 1)
Co 0.000 0.000 0.500 (multiplicity 3)